The following is a DFT calculation (GGA+U) of an optimized crystal structure of SiMoPbO6.

The space group is P312 (No. 149) and the conventional cell measures 5.0490, 5.0490 and 5.4285 Å, with angles of 90.00, 90.00 and 120.00 degrees. The asymmetric unit holds Si at (0.0000, 0.0000, 0.0000), Mo at (0.3333, 0.6667, 0.0000), Pb at (0.6667, 0.3333, 0.5000) and O at (0.0444, 0.3135, 0.1918).

As for the calculated volume: 119.85 Å³ per cell. The calculation puts the total magnetic moment at 0.00 μB per cell. The value obtained for the density is 5.9 g cm⁻³. The value obtained for the electronic total energy is -62.406 eV/f.u.